[1]
The following is a DFT calculation (GGA-PBE) of a geometry-optimized YGaAgAu structure.

Cell: 4.846 4.846 4.846 Å, 60.00 60.00 60.00°
Fractional positions:
Ga: 0.500 0.500 0.500
Au: 0.750 0.750 0.750
Ag: 0.250 0.250 0.250
Y: 0.000 0.000 0.000

Polymorph energy (0 for the lowest one) ... 0 meV per atom
SG ... F-43m, No. 216


[2]
The following is a DFT calculation (GGA-PBE) of a geometry-optimized BeNbAl structure.

Cell: 4.222 4.222 4.222 Å, 60.00 60.00 60.00°
Fractional positions:
Al: 0.250 0.250 0.250
Nb: 0.000 0.000 0.000
Be: 0.750 0.750 0.750

Polymorph energy (0 for the lowest one) ... 1102 meV per atom
SG ... F-43m, No. 216


[3]
The following is a DFT calculation (GGA-PBE) of a geometry-optimized OsPdNO structure.

Cell: 3.745 3.745 6.184 Å, 90.00 90.00 90.00°
Fractional positions:
Os: 0.500 0.000 0.168
O: 0.500 0.500 0.000
N: 0.000 0.500 0.304
Os: 0.000 0.500 0.832
O: 0.000 0.000 0.000
Pd: 0.500 0.500 0.500
N: 0.500 0.000 0.696
Pd: 0.000 0.000 0.500

Polymorph energy (0 for the lowest one) ... 901 meV per atom
SG ... P4/nmm, No. 129


[4]
The following is a DFT calculation (GGA-PBE) of a geometry-optimized TaNiGePd structure.

Cell: 4.384 4.384 4.384 Å, 60.00 60.00 60.00°
Fractional positions:
Ni: 0.750 0.750 0.750
Pd: 0.250 0.250 0.250
Ta: 0.500 0.500 0.500
Ge: 0.000 0.000 0.000

Polymorph energy (0 for the lowest one) ... 24 meV per atom
SG ... F-43m, No. 216


[5]
The following is a DFT calculation (GGA-PBE) of a geometry-optimized Y2GaCo2 structure.

Cell: 5.397 5.397 7.554 Å, 102.26 102.26 59.65°
Each line ends with the local moment (μB).
Fractional positions:
Y: 0.204 0.504 0.355  -0.03
Ga: 0.131 0.869 0.750  -0.01
Co: 0.996 0.292 0.006  0.33
Y: 0.496 0.796 0.145  -0.03
Y: 0.504 0.204 0.855  -0.03
Co: 0.708 0.004 0.494  0.32
Y: 0.796 0.496 0.645  -0.03
Co: 0.004 0.708 0.994  0.33
Ga: 0.869 0.131 0.250  -0.01
Co: 0.292 0.996 0.506  0.32

Raw total energy ... -6.439 eV per atom
SG ... C2/c, No. 15


[6]
The following is a DFT calculation (GGA-PBE) of a geometry-optimized Li2Mg2In2FeCu structure.

Cell: 4.495 4.495 6.534 Å, 90.00 90.00 90.00°
Each line ends with the local moment (μB).
Fractional positions:
In: 0.500 0.000 0.745  -0.03
In: 0.000 0.500 0.255  -0.03
Li: 0.500 0.500 0.000  -0.01
Li: 0.000 0.000 0.500  -0.01
Mg: 0.500 0.000 0.248  -0.01
Mg: 0.000 0.500 0.752  -0.01
Cu: 0.000 0.000 0.000  0.01
Fe: 0.500 0.500 0.500  2.40

Raw total energy ... -3.154 eV per atom
SG ... P-4m2, No. 115


[7]
The following is a DFT calculation (GGA-PBE) of a geometry-optimized FeCuSnIr structure.

Cell: 4.403 4.403 4.403 Å, 60.00 60.00 60.00°
Fractional positions:
Cu: 0.750 0.750 0.750
Fe: 0.500 0.500 0.500
Ir: 0.250 0.250 0.250
Sn: 0.000 0.000 0.000

Polymorph energy (0 for the lowest one) ... 0 meV per atom
SG ... F-43m, No. 216


[8]
The following is a DFT calculation (GGA-PBE) of a geometry-optimized LuCuSnSe3 structure.

Cell: 10.421 3.999 13.419 Å, 90.00 90.00 90.00°
Fractional positions:
Sn: 0.218 0.250 0.004
Cu: 0.263 0.250 0.721
Se: 0.266 0.750 0.833
Se: 0.585 0.250 0.896
Cu: 0.737 0.750 0.279
Se: 0.915 0.750 0.396
Lu: 0.479 0.250 0.241
Se: 0.042 0.750 0.115
Lu: 0.021 0.750 0.741
Se: 0.958 0.250 0.885
Sn: 0.718 0.250 0.496
Se: 0.766 0.750 0.667
Se: 0.085 0.250 0.604
Lu: 0.521 0.750 0.759
Sn: 0.782 0.750 0.996
Lu: 0.979 0.250 0.259
Se: 0.458 0.250 0.615
Cu: 0.237 0.750 0.221
Se: 0.234 0.250 0.333
Sn: 0.282 0.750 0.504
Se: 0.734 0.250 0.167
Se: 0.542 0.750 0.385
Cu: 0.763 0.250 0.779
Se: 0.415 0.750 0.104

Polymorph energy (0 for the lowest one) ... 0 meV per atom
SG ... Pnma, No. 62


[9]
The following is a DFT calculation (GGA-PBE) of a geometry-optimized ErLu structure.

Cell: 3.500 3.500 11.024 Å, 90.00 90.00 120.00°
Fractional positions:
Er: 0.333 0.667 0.250
Lu: 0.000 0.000 0.500
Er: 0.667 0.333 0.750
Lu: 0.000 0.000 0.000

Polymorph energy (0 for the lowest one) ... 22 meV per atom
E_form ... 0.021 eV per atom
SG ... P6_3/mmc, No. 194


[10]
The following is a DFT calculation (GGA-PBE) of a geometry-optimized CsNd2CuS4 structure.

Cell: 7.496 7.496 14.139 Å, 90.00 90.00 148.11°
Fractional positions:
S: 0.756 0.244 0.610
Cu: 0.336 0.664 0.250
S: 0.244 0.756 0.390
Cs: 0.606 0.394 0.250
Nd: 0.134 0.866 0.939
S: 0.500 0.500 0.500
S: 0.500 0.500 0.000
Cs: 0.394 0.606 0.750
Nd: 0.134 0.866 0.561
S: 0.081 0.919 0.750
S: 0.756 0.244 0.890
Nd: 0.866 0.134 0.439
Nd: 0.866 0.134 0.061
Cu: 0.664 0.336 0.750
S: 0.919 0.081 0.250
S: 0.244 0.756 0.110

Raw total energy ... -5.449 eV per atom
SG ... Cmcm, No. 63


[11]
The following is a DFT calculation (GGA-PBE) of a geometry-optimized GdTmFe4 structure.

Cell: 5.101 5.101 5.101 Å, 60.00 60.00 60.00°
Each line ends with the local moment (μB).
Fractional positions:
Gd: 0.750 0.750 0.750  -0.48
Tm: 0.000 0.000 0.000  -0.57
Fe: 0.375 0.876 0.375  2.10
Fe: 0.876 0.375 0.375  1.64
Fe: 0.375 0.375 0.876  2.02
Fe: 0.375 0.375 0.375  2.00

E_form ... -0.082 eV per atom
SG ... F-43m, No. 216


[12]
The following is a DFT calculation (GGA-PBE) of a geometry-optimized YNi3As2 structure.

Cell: 4.019 4.019 6.465 Å, 90.00 90.00 120.00°
Fractional positions:
Ni: 0.000 0.000 0.500
Ni: 0.333 0.667 0.336
As: 0.667 0.333 0.282
As: 0.333 0.667 0.718
Y: 0.000 0.000 0.000
Ni: 0.667 0.333 0.664

Raw total energy ... -6.088 eV per atom
SG ... P-3m1, No. 164


[13]
The following is a DFT calculation (GGA-PBE) of a geometry-optimized AgPbSO structure.

Cell: 7.255 6.773 6.098 Å, 90.00 90.00 90.00°
Fractional positions:
O: 0.394 0.593 0.211
Pb: 0.826 0.178 0.556
Ag: 0.603 0.314 0.015
Ag: 0.103 0.186 0.985
Pb: 0.174 0.678 0.944
S: 0.905 0.460 0.187
Pb: 0.674 0.822 0.056
Ag: 0.897 0.686 0.515
O: 0.606 0.093 0.289
S: 0.095 0.960 0.313
O: 0.106 0.407 0.711
Pb: 0.326 0.322 0.444
Ag: 0.397 0.814 0.485
S: 0.405 0.040 0.813
S: 0.595 0.540 0.687
O: 0.894 0.907 0.789

Polymorph energy (0 for the lowest one) ... 82 meV per atom
SG ... P2_12_12_1, No. 19


[14]
The following is a DFT calculation (GGA-PBE) of a geometry-optimized NpGaRe structure.

Cell: 4.459 4.459 4.459 Å, 60.00 60.00 60.00°
Each line ends with the local moment (μB).
Fractional positions:
Np: 0.500 0.500 0.500  3.28
Re: 0.250 0.250 0.250  -0.30
Ga: 0.000 0.000 0.000  0.01

Polymorph energy (0 for the lowest one) ... 0 meV per atom
SG ... F-43m, No. 216


[15]
The following is a DFT calculation (GGA-PBE) of a geometry-optimized PmBeW structure.

Cell: 4.681 4.681 4.681 Å, 60.00 60.00 60.00°
Each line ends with the local moment (μB).
Fractional positions:
Be: 0.250 0.250 0.250  -0.07
W: 0.750 0.750 0.750  2.14
Pm: 0.000 0.000 0.000  0.30

Polymorph energy (0 for the lowest one) ... 1011 meV per atom
SG ... F-43m, No. 216


[16]
The following is a DFT calculation (GGA-PBE) of a geometry-optimized PaCoB structure.

Cell: 4.087 4.087 4.087 Å, 60.00 60.00 60.00°
Fractional positions:
Pa: 0.750 0.750 0.750
B: 0.250 0.250 0.250
Co: 0.000 0.000 0.000

Polymorph energy (0 for the lowest one) ... 116 meV per atom
SG ... F-43m, No. 216


[17]
The following is a DFT calculation (GGA-PBE) of a geometry-optimized Rb4TmI6 structure.

Cell: 10.154 10.154 10.154 Å, 90.18 89.82 90.18°
Each line ends with the local moment (μB).
Fractional positions:
Tm: 0.500 0.500 0.500  0.50
I: 0.790 0.557 0.568  0.00
I: 0.432 0.790 0.557  0.00
I: 0.210 0.443 0.432  0.00
Rb: 0.750 0.870 0.370  0.00
I: 0.568 0.210 0.443  0.00
Rb: 0.630 0.750 0.870  0.00
I: 0.943 0.710 0.068  0.00
Rb: 0.130 0.630 0.750  0.00
I: 0.068 0.057 0.290  0.00
Rb: 0.750 0.250 0.750  0.01
I: 0.290 0.932 0.943  0.00
Rb: 0.370 0.250 0.130  0.00
Tm: 0.000 0.000 0.000  0.50
I: 0.710 0.068 0.057  0.00
Rb: 0.870 0.370 0.250  0.00
I: 0.932 0.943 0.710  0.00
Rb: 0.250 0.130 0.630  0.00
Rb: 0.250 0.750 0.250  0.01
I: 0.057 0.290 0.932  0.00
I: 0.443 0.432 0.790  0.00
I: 0.557 0.568 0.210  0.00

Raw total energy ... -2.944 eV per atom
SG ... R-3c, No. 167


[18]
The following is a DFT calculation (GGA-PBE) of a geometry-optimized CdGaCo structure.

Cell: 4.293 4.293 4.293 Å, 60.00 60.00 60.00°
Each line ends with the local moment (μB).
Fractional positions:
Co: 0.750 0.750 0.750  1.28
Cd: 0.000 0.000 0.000  -0.03
Ga: 0.250 0.250 0.250  -0.01

Raw total energy ... -3.067 eV per atom
SG ... F-43m, No. 216


[19]
The following is a DFT calculation (GGA-PBE) of a geometry-optimized KNi3Bi5 structure.

Cell: 5.661 5.661 8.721 Å, 90.00 90.00 120.00°
Fractional positions:
Bi: 0.667 0.333 0.750
Ni: 0.500 0.500 0.500
Bi: 0.000 0.000 0.500
Ni: 0.000 0.500 0.500
Ni: 0.500 0.000 0.500
Bi: 0.333 0.667 0.250
K: 0.000 0.000 0.000
Bi: 0.333 0.667 0.750
Bi: 0.667 0.333 0.250

Raw total energy ... -4.339 eV per atom
SG ... P6/mmm, No. 191


[20]
The following is a DFT calculation (GGA-PBE) of a geometry-optimized SmYAl structure.

Cell: 5.098 5.098 5.098 Å, 60.00 60.00 60.00°
Fractional positions:
Sm: 0.750 0.750 0.750
Al: 0.250 0.250 0.250
Y: 0.000 0.000 0.000

Polymorph energy (0 for the lowest one) ... 0 meV per atom
SG ... F-43m, No. 216


[21]
The following is a DFT calculation (GGA-PBE) of a geometry-optimized KNaPd structure.

Cell: 5.179 5.179 5.179 Å, 60.00 60.00 60.00°
Fractional positions:
Pd: 0.000 0.000 0.000
Na: 0.750 0.750 0.750
K: 0.250 0.250 0.250

Raw total energy ... -2.431 eV per atom
SG ... F-43m, No. 216


[22]
The following is a DFT calculation (GGA-PBE) of a geometry-optimized Nb2InGaPd2 structure.

Cell: 10.649 4.344 10.662 Å, 90.00 109.50 90.00°
Fractional positions:
Nb: 0.251 0.000 0.006
Nb: 0.502 0.000 0.750
In: 0.875 0.500 0.373
Nb: 0.372 0.500 0.372
Nb: 0.003 0.000 0.250
Ga: 0.751 0.000 0.001
Pd: 0.130 0.500 0.373
Nb: 0.128 0.500 0.621
Nb: 0.623 0.500 0.125
In: 0.001 0.000 0.753
Ga: 0.499 0.000 0.249
In: 0.375 0.500 0.877
Pd: 0.251 0.000 0.743
Ga: 0.125 0.500 0.125
Pd: 0.374 0.500 0.131
Nb: 0.745 0.000 0.495
Pd: 0.002 0.000 0.008
Pd: 0.493 0.000 0.493
Ga: 0.250 0.000 0.498
In: 0.624 0.500 0.625
Pd: 0.744 0.000 0.243
Pd: 0.631 0.500 0.882
Pd: 0.874 0.500 0.624
Nb: 0.878 0.500 0.883

Raw total energy ... -6.246 eV per atom
SG ... Pm, No. 6


[23]
The following is a DFT calculation (GGA-PBE) of a geometry-optimized LuCdCoAs structure.

Cell: 4.697 4.697 4.697 Å, 60.00 60.00 60.00°
Each line ends with the local moment (μB).
Fractional positions:
Cd: 0.250 0.250 0.250  0.01
Lu: 0.500 0.500 0.500  -0.06
Co: 0.750 0.750 0.750  0.36
As: 0.000 0.000 0.000  0.00

Polymorph energy (0 for the lowest one) ... 151 meV per atom
SG ... F-43m, No. 216


[24]
The following is a DFT calculation (GGA-PBE) of a geometry-optimized LiFeTcPb structure.

Cell: 4.378 4.378 4.378 Å, 60.00 60.00 60.00°
Fractional positions:
Tc: 0.500 0.500 0.500
Fe: 0.750 0.750 0.750
Pb: 0.000 0.000 0.000
Li: 0.250 0.250 0.250

Polymorph energy (0 for the lowest one) ... 0 meV per atom
SG ... F-43m, No. 216